Material: CaErCd
Method: DFT, PBE
State: relaxed

Calculated values
total DFT energy (no corrections): -2.48 eV/atom
formation energy from the elements: 16.1 meV/atom
offset from the most stable computed form: 183 meV/atom
M_tot: 0.000 μB/cell

Cell: 5.1777 5.1777 26.0987 Å, 90.00 90.00 120.00°
Space group R-3m (No. 166, hexagonal axes)
Inequivalent atoms, fractional coordinates:
Ca  0.0000  0.0000  0.1231 [6 per cell]
Er  0.0000  0.0000  0.3705 [6 per cell]
Cd  0.0000  0.0000  0.2541 [6 per cell]



Material: Ac3Zn2Pt
Method: DFT, PBE
State: relaxed

Calculated values
total DFT energy (no corrections): -4.01 eV/atom
formation energy from the elements: -519.8 meV/atom
M_tot: 0.000 μB/cell

Cell: 12.968 4.562 12.367 Å, 90.00 90.00 90.00°
Space group Pnma (No. 62)
Inequivalent atoms, fractional coordinates:
Ac  0.052  0.250  0.132 [4 per cell]
Ac  0.113  0.750  0.561 [4 per cell]
Ac  0.221  0.250  0.807 [4 per cell]
Zn  0.022  0.750  0.311 [4 per cell]
Zn  0.198  0.750  0.007 [4 per cell]
Pt  0.125  0.250  0.380 [4 per cell]



Material: AlRe2Ir
Method: DFT, PBE
State: relaxed

Calculated values
total DFT energy (no corrections): -9.50 eV/atom
formation energy from the elements: -125.2 meV/atom
M_tot: 0.000 μB/cell

Cell: 3.025 4.301 8.941 Å, 90.00 90.00 90.00°
Space group Immm (No. 71)
Inequivalent atoms, fractional coordinates:
Al  0.000  0.000  0.000 [2 per cell]
Re  0.000  0.500  0.263 [4 per cell]
Ir  0.000  0.000  0.500 [2 per cell]



Material: LiLaHo2Se4
Method: DFT, PBE
State: relaxed

Calculated values
total DFT energy (no corrections): -5.51 eV/atom
energy relative to the elements, uncorrected: -1.7723 eV per atom
M_tot: 0.000 μB/cell

Cell: 7.098 4.097 7.215 Å, 90.00 109.11 90.00°
Space group P2/m (No. 10)
Inequivalent atoms, fractional coordinates:
Li  0.000  0.000  0.000 [1 per cell]
La  0.500  0.500  0.000 [1 per cell]
Ho  0.000  0.500  0.500 [1 per cell]
Ho  0.500  0.000  0.500 [1 per cell]
Se  0.235  0.000  0.739 [2 per cell]
Se  0.244  0.500  0.256 [2 per cell]



Material: Tb4SmBi2
Method: DFT, PBE
State: relaxed

Calculated values
total DFT energy (no corrections): -4.14 eV/atom
formation energy from the elements: 285.9 meV/atom
M_tot: 0.001 μB/cell

Cell: 5.378 5.378 16.831 Å, 90.00 90.00 90.00°
Space group I4/mmm (No. 139)
Inequivalent atoms, fractional coordinates:
Tb  0.000  0.000  0.181 [4 per cell]
Tb  0.000  0.500  0.000 [4 per cell]
Sm  0.000  0.000  0.000 [2 per cell]
Bi  0.000  0.000  0.365 [4 per cell]



Material: Sm2Se
Method: DFT, PBE
State: relaxed

Calculated values
total DFT energy (no corrections): -5.42 eV/atom
energy relative to the elements, uncorrected: -1.1088 eV per atom
M_tot: 0.000 μB/cell

Cell: 4.0090 4.0090 19.6445 Å, 90.00 90.00 120.00°
Space group R-3m (No. 166, hexagonal axes)
Inequivalent atoms, fractional coordinates:
Sm  0.0000  0.0000  0.2445 [6 per cell]
Se  0.0000  0.0000  0.0000 [3 per cell]



| no. | D(E_F) (states/eV/f.u.) | ρ (g/cm3) |
| --- | --- | --- |
| 1 | 3.73 | 5.3 |
| 2 | 6.27 | 9.1 |
| 3 | 2.11 | 16.9 |
| 4 | 2.67 | 6.6 |
| 5 | 7.27 | 8.2 |
| 6 | 1.87 | 6.9 |